1.
MnCuBiO4 | GGA+U | optimized geometry

Structure (CIF):
```
data_MnCuBiO4
_space_group_name_H-M_alt 'P 1'
_space_group_IT_number 1
_cell_length_a 5.4892
_cell_length_b 5.4892
_cell_length_c 6.9233
_cell_angle_alpha 90.00
_cell_angle_beta 90.00
_cell_angle_gamma 113.02
loop_
_space_group_symop_operation_xyz
'x,y,z'
loop_
_atom_site_label
_atom_site_fract_x
_atom_site_fract_y
_atom_site_fract_z
_atom_site_occupancy
Mn1 0.1571 0.8429 0.7500 1
Mn2 0.8429 0.1571 0.2500 1
Cu1 0.1678 0.8322 0.2500 1
Cu2 0.8322 0.1678 0.7500 1
Bi1 0.5000 0.5000 0.0000 1
Bi2 0.5000 0.5000 0.5000 1
O1 0.2433 0.2557 0.7500 1
O2 0.2557 0.2433 0.2500 1
O3 0.2616 0.7384 0.0043 1
O4 0.2616 0.7384 0.4957 1
O5 0.7384 0.2616 0.5043 1
O6 0.7384 0.2616 0.9957 1
O7 0.7443 0.7567 0.7500 1
O8 0.7567 0.7443 0.2500 1
```


2.
MnCu2Bi2O6 | GGA+U | optimized geometry

Structure (CIF):
```
data_MnCu2Bi2O6
_space_group_name_H-M_alt 'P 1'
_space_group_IT_number 1
_cell_length_a 6.1024
_cell_length_b 6.1024
_cell_length_c 6.1024
_cell_angle_alpha 58.17
_cell_angle_beta 58.17
_cell_angle_gamma 58.17
loop_
_space_group_symop_operation_xyz
'x,y,z'
loop_
_atom_site_label
_atom_site_fract_x
_atom_site_fract_y
_atom_site_fract_z
_atom_site_occupancy
Mn1 0.0000 0.0000 0.0000 1
Cu1 0.4165 0.4165 0.4165 1
Cu2 0.5835 0.5835 0.5835 1
Bi1 0.1965 0.1965 0.1965 1
Bi2 0.8035 0.8035 0.8035 1
O1 0.2053 0.7642 0.7642 1
O2 0.2358 0.2358 0.7947 1
O3 0.2358 0.7947 0.2358 1
O4 0.7642 0.2053 0.7642 1
O5 0.7642 0.7642 0.2053 1
O6 0.7947 0.2358 0.2358 1
```


| no. | calculated total energy (eV per atom) | V (Å³ per atom) |
| --- | --- | --- |
| 1 | -6.018 | 13.7 |
| 2 | -5.720 | 14.0 |